No. 1
A relaxed NbCrMo2 crystal, computed with GGA-PBE.

Lattice parameters (Å, degrees): 3.1318 3.1318 6.2876 90.00 90.00 90.00
Space group P4/mmm (No. 123)
One atom of each set of equivalent atoms:
Nb  0.0000  0.0000  0.0000 [1 per cell]
Cr  0.0000  0.0000  0.5000 [1 per cell]
Mo  0.5000  0.5000  0.2641 [2 per cell]

Results
E_tot in eV/atom: -10.32
Energy above the most stable polymorph in this dataset in eV/atom: 0.0008
Formation enthalpy at 0 K in eV per atom: 0.015


No. 2
A relaxed NbCrMo2 crystal, computed with GGA-PBE.

Lattice parameters (Å, degrees): 6.2658 6.2658 6.2658 90.00 90.00 90.00
Space group Fm-3m (No. 225)
One atom of each set of equivalent atoms:
Nb  0.0000  0.0000  0.0000 [4 per cell]
Cr  0.0000  0.0000  0.5000 [4 per cell]
Mo  0.2500  0.2500  0.2500 [8 per cell]

Results
E_tot in eV/atom: -10.32
Energy above the most stable polymorph in this dataset in eV/atom: 0.0000
Formation enthalpy at 0 K in eV per atom: 0.014


No. 3
A relaxed NbCrMo3 crystal, computed with GGA-PBE.

Lattice parameters (Å, degrees): 4.6869 4.6869 4.6869 90.00 90.00 90.00
Space group Pm-3m (No. 221)
One atom of each set of equivalent atoms:
Nb  0.0000  0.0000  0.0000 [1 per cell]
Cr  0.5000  0.5000  0.5000 [1 per cell]
Mo  0.0000  0.0000  0.5000 [3 per cell]

Results
E_tot in eV/atom: -8.21
Energy above the most stable polymorph in this dataset in eV/atom: 1.1752
Formation enthalpy at 0 K in eV per atom: 2.226


No. 4
A relaxed NbCrMo6 crystal, computed with GGA-PBE.

Lattice parameters (Å, degrees): 4.4514 8.9244 6.3022 90.00 90.00 90.00
Space group Amm2 (No. 38)
One atom of each set of equivalent atoms:
Nb  0.0000  0.0000  0.0000 [2 per cell]
Cr  0.5000  0.0000  0.2482 [2 per cell]
Mo  0.0000  0.0000  0.4928 [2 per cell]
Mo  0.0000  0.2486  0.2465 [4 per cell]
Mo  0.5000  0.0000  0.7430 [2 per cell]
Mo  0.5000  0.2492  0.4953 [4 per cell]

Results
E_tot in eV/atom: -10.60
Formation enthalpy at 0 K in eV per atom: -0.017


Q: Which of these has the highest E_tot?
A: NbCrMo3


Copy entry 2 word for word.
A relaxed NbCrMo2 crystal, computed with GGA-PBE.

Lattice parameters (Å, degrees): 6.2658 6.2658 6.2658 90.00 90.00 90.00
Space group Fm-3m (No. 225)
One atom of each set of equivalent atoms:
Nb  0.0000  0.0000  0.0000 [4 per cell]
Cr  0.0000  0.0000  0.5000 [4 per cell]
Mo  0.2500  0.2500  0.2500 [8 per cell]

Results
E_tot in eV/atom: -10.32
Energy above the most stable polymorph in this dataset in eV/atom: 0.0000
Formation enthalpy at 0 K in eV per atom: 0.014